(1)
The following is a DFT calculation (PBE-GGA) of an optimized crystal structure of Sm2PaMnN4.

Summary:
- Crystal system: orthorhombic
- Formation energy (no corrections): -1.1161 eV/atom
- VASP energy: -8.79 eV/atom

abc: 3.4145 11.4144 11.9862
angles: 90.00 90.00 90.00
With the nearest neighbours (Å) after each atom.
Space group Cmcm (No. 63)
Unique sites:
Sm: 0.0000 0.1307 0.0513 (multiplicity 8)  4 N 2.35-2.61
Pa: 0.0000 0.3924 0.2500 (multiplicity 4)  6 N 2.38-2.52
Mn: 0.0000 0.3384 0.7500 (multiplicity 4)  2 N 1.95
N: 0.0000 0.0379 0.2500 (multiplicity 4)  2 Mn 2.22, 2 Pa 2.38
N: 0.0000 0.2168 0.6357 (multiplicity 8)  1 Mn 1.95
N: 0.0000 0.5000 0.0000 (multiplicity 4)  4 Sm 2.35

---

(2)
The following is a DFT calculation (PBE-GGA) of an optimized crystal structure of SbAs2SeCl.

Summary:
- Crystal system: tetragonal
- Formation energy (no corrections): 0.8847 eV/atom
- Energy relative to the lowest polymorph listed for this composition: 77.6 meV per atom
- VASP energy: -2.87 eV/atom

abc: 4.9108 4.9108 5.1079
angles: 90.00 90.00 90.00
With the nearest neighbours (Å) after each atom.
Space group P4/mmm (No. 123)
Unique sites:
Sb: 0.0000 0.0000 0.0000 (multiplicity 1)  4 Se 3.47, 8 As 3.54
As: 0.0000 0.5000 0.5000 (multiplicity 2)  2 Cl 2.46
Se: 0.5000 0.5000 0.0000 (multiplicity 1)  2 Cl 2.55
Cl: 0.5000 0.5000 0.5000 (multiplicity 1)  4 As 2.46, 2 Se 2.55

---

(3)
The following is a DFT calculation (PBE-GGA) of an optimized crystal structure of RbBa2La.

Summary:
- DFT formation energy: 0.350 eV per atom
- Crystal system: trigonal
- Energy relative to the lowest polymorph listed for this composition: 176.7 meV per atom
- VASP energy: -2.09 eV/atom

abc: 4.0927 4.0927 46.7927
angles: 90.00 90.00 120.00
With the nearest neighbours (Å) after each atom.
Space group R-3m (No. 166, hexagonal axes)
Unique sites:
Rb: 0.0000 0.0000 0.0000 (multiplicity 3)  6 Rb 4.09
Ba: 0.0000 0.0000 0.4212 (multiplicity 6)  1 La 3.69, 6 Ba 4.09
La: 0.0000 0.0000 0.5000 (multiplicity 3)  2 Ba 3.69, 6 La 4.09

---

(4)
The following is a DFT calculation (PBE-GGA) of an optimized crystal structure of MnSiP2.

Summary:
- Crystal system: orthorhombic
- Formation energy (no corrections): -0.0946 eV/atom
- VASP energy: -6.45 eV/atom

abc: 6.5344 7.8197 6.3022
angles: 90.00 90.00 90.00
With the nearest neighbours (Å) after each atom.
Space group Pna2_1 (No. 33)
Unique sites:
Mn: 0.0877 0.1226 0.0000 (multiplicity 4)  4 P 2.44-2.46
Si: 0.0718 0.6261 0.0006 (multiplicity 4)  4 P 2.26-2.28
P: 0.0640 0.6150 0.6387 (multiplicity 4)  2 Si 2.26-2.28, 2 Mn 2.44
P: 0.0973 0.1366 0.6120 (multiplicity 4)  2 Si 2.27-2.28, 2 Mn 2.45-2.46